Density functional theory data (PBE) for a geometry-optimized ScHPd3 structure.

Unit cell a=5.305 b=5.305 c=5.305 alpha=61.29 beta=61.29 gamma=61.29
Atoms (fractional coordinates):
1 Sc 0.000 0.000 0.000
2 H 0.764 0.764 0.764
3 Pd 0.004 0.004 0.497
4 Pd 0.004 0.497 0.004
5 Pd 0.497 0.004 0.004

- space-group type = R3m
- relative energy among the computed polymorphs (meV per atom) = 785


Density functional theory data (PBE) for a geometry-optimized BeNiCl2 structure.

Unit cell a=4.469 b=3.242 c=5.617 alpha=90.00 beta=94.97 gamma=90.00
Atoms (fractional coordinates):
1 Be 0.000 0.000 0.000
2 Ni 0.667 0.500 0.036
3 Cl 0.376 0.000 0.221
4 Cl 0.964 0.500 0.759

- space-group type = Pm
- relative energy among the computed polymorphs (meV per atom) = 0
- formation energy without anion corrections (eV per atom) = -0.46


Density functional theory data (PBE) for a geometry-optimized Na4LiIr3Se8 structure.

Unit cell a=8.001 b=8.001 c=8.001 alpha=57.50 beta=57.50 gamma=57.50
Atoms (fractional coordinates):
1 Na 0.000 0.000 0.000
2 Na 0.000 0.500 0.500
3 Na 0.500 0.000 0.500
4 Na 0.500 0.500 0.000
5 Li 0.500 0.500 0.500
6 Ir 0.000 0.000 0.500
7 Ir 0.000 0.500 0.000
8 Ir 0.500 0.000 0.000
9 Se 0.215 0.741 0.741
10 Se 0.228 0.228 0.228
11 Se 0.259 0.259 0.785
12 Se 0.259 0.785 0.259
13 Se 0.741 0.215 0.741
14 Se 0.741 0.741 0.215
15 Se 0.772 0.772 0.772
16 Se 0.785 0.259 0.259

- space-group type = R-3m
- formation energy without anion corrections (eV per atom) = -0.60


Density functional theory data (PBE) for a geometry-optimized Hg5Sb2Au5 structure.

Unit cell a=7.034 b=7.034 c=12.517 alpha=107.70 beta=107.70 gamma=30.55
Atoms (fractional coordinates):
1 Hg 0.000 0.000 0.000
2 Hg 0.167 0.167 0.580
3 Hg 0.260 0.260 0.852
4 Hg 0.740 0.740 0.148
5 Hg 0.833 0.833 0.420
6 Sb 0.475 0.475 0.708
7 Sb 0.525 0.525 0.292
8 Au 0.174 0.174 0.303
9 Au 0.380 0.380 0.086
10 Au 0.500 0.500 0.500
11 Au 0.620 0.620 0.914
12 Au 0.826 0.826 0.697

- space-group type = C2/m
- formation energy without anion corrections (eV per atom) = 0.03


Density functional theory data (PBE) for a geometry-optimized ZrSbTe2S structure.

Unit cell a=5.104 b=5.104 c=5.225 alpha=90.00 beta=90.00 gamma=90.00
Atoms (fractional coordinates):
1 Zr 0.000 0.000 0.000
2 Sb 0.500 0.500 0.000
3 Te 0.000 0.500 0.500
4 Te 0.500 0.000 0.500
5 S 0.500 0.500 0.500

- space-group type = P4/mmm
- relative energy among the computed polymorphs (meV per atom) = 42
- formation energy without anion corrections (eV per atom) = 0.40


Density functional theory data (PBE) for a geometry-optimized ZnSi3Ag structure.

Unit cell a=4.679 b=4.679 c=4.679 alpha=90.00 beta=90.00 gamma=90.00
Atoms (fractional coordinates):
1 Zn 0.000 0.000 0.000
2 Si 0.000 0.000 0.500
3 Si 0.000 0.500 0.000
4 Si 0.500 0.000 0.000
5 Ag 0.500 0.500 0.500

- space-group type = Pm-3m
- relative energy among the computed polymorphs (meV per atom) = 0
- formation energy without anion corrections (eV per atom) = 0.98


Density functional theory data (PBE) for a geometry-optimized MnCr4Ga structure.

Unit cell a=4.760 b=4.760 c=4.953 alpha=121.21 beta=121.21 gamma=50.19
Atoms (fractional coordinates):
1 Mn 0.000 0.000 0.000
2 Cr 0.323 0.323 0.147
3 Cr 0.341 0.341 0.663
4 Cr 0.659 0.659 0.337
5 Cr 0.677 0.677 0.853
6 Ga 0.000 0.000 0.500

- space-group type = C2/m
- formation energy from the elements (eV/atom) = -0.014


Density functional theory data (PBE) for a geometry-optimized LaTa3F structure.

Unit cell a=4.588 b=4.588 c=4.588 alpha=90.00 beta=90.00 gamma=90.00
Atoms (fractional coordinates):
1 La 0.000 0.000 0.000
2 Ta 0.000 0.500 0.500
3 Ta 0.500 0.000 0.500
4 Ta 0.500 0.500 0.000
5 F 0.500 0.500 0.500

- space-group type = Pm-3m
- relative energy among the computed polymorphs (meV per atom) = 0
- formation energy without anion corrections (eV per atom) = 0.33


Density functional theory data (PBE) for a geometry-optimized Pu2SiTc structure.

Unit cell a=10.272 b=10.272 c=10.272 alpha=16.34 beta=16.34 gamma=16.34
Atoms (fractional coordinates):
1 Pu 0.085 0.085 0.085
2 Pu 0.915 0.915 0.915
3 Si 0.500 0.500 0.500
4 Tc 0.000 0.000 0.000

- space-group type = R-3m
- relative energy among the computed polymorphs (meV per atom) = 592
- formation energy without anion corrections (eV per atom) = 0.36


Density functional theory data (PBE) for a geometry-optimized AlSnIr3 structure.

Unit cell a=4.819 b=4.819 c=4.819 alpha=90.00 beta=90.00 gamma=90.00
Atoms (fractional coordinates):
1 Al 0.000 0.000 0.000
2 Sn 0.500 0.500 0.500
3 Ir 0.000 0.500 0.500
4 Ir 0.500 0.000 0.500
5 Ir 0.500 0.500 0.000

- space-group type = Pm-3m
- relative energy among the computed polymorphs (meV per atom) = 901
- formation energy from the elements (eV/atom) = 1.653


Density functional theory data (PBE) for a geometry-optimized Pr9ThTl2 structure.

Unit cell a=5.069 b=5.069 c=15.356 alpha=90.00 beta=90.00 gamma=90.00
Atoms (fractional coordinates):
1 Pr 0.000 0.000 0.000
2 Pr 0.000 0.000 0.338
3 Pr 0.000 0.000 0.662
4 Pr 0.000 0.500 0.169
5 Pr 0.000 0.500 0.500
6 Pr 0.000 0.500 0.831
7 Pr 0.500 0.000 0.169
8 Pr 0.500 0.000 0.500
9 Pr 0.500 0.000 0.831
10 Th 0.500 0.500 0.000
11 Tl 0.500 0.500 0.337
12 Tl 0.500 0.500 0.663

- space-group type = P4/mmm
- formation energy from the elements (eV/atom) = -0.115


Density functional theory data (PBE) for a geometry-optimized PRuSe2 structure.

Unit cell a=3.120 b=4.428 c=4.724 alpha=90.00 beta=90.00 gamma=90.00
Atoms (fractional coordinates):
1 P 0.000 0.000 0.000
2 Ru 0.500 0.000 0.500
3 Se 0.000 0.500 0.500
4 Se 0.500 0.500 0.000

- space-group type = Pmmm
- formation energy without anion corrections (eV per atom) = 0.65


Density functional theory data (PBE) for a geometry-optimized MgP2BrO structure.

Unit cell a=5.096 b=5.096 c=3.667 alpha=90.00 beta=90.00 gamma=90.00
Atoms (fractional coordinates):
1 Mg 0.000 0.000 0.000
2 P 0.000 0.500 0.500
3 P 0.500 0.000 0.500
4 Br 0.500 0.500 0.500
5 O 0.500 0.500 0.000

- space-group type = P4/mmm
- relative energy among the computed polymorphs (meV per atom) = 405
- formation energy without anion corrections (eV per atom) = 0.83


Density functional theory data (PBE) for a geometry-optimized BaRe2TcC structure.

Unit cell a=4.954 b=4.954 c=4.177 alpha=90.00 beta=90.00 gamma=90.00
Atoms (fractional coordinates):
1 Ba 0.000 0.000 0.000
2 Re 0.000 0.500 0.500
3 Re 0.500 0.000 0.500
4 Tc 0.500 0.500 0.500
5 C 0.500 0.500 0.000

- space-group type = P4/mmm
- formation energy from the elements (eV/atom) = 1.850


Density functional theory data (PBE) for a geometry-optimized Sr2GePd6Pb structure.

Unit cell a=5.690 b=6.722 c=7.171 alpha=77.65 beta=66.64 gamma=64.99
Atoms (fractional coordinates):
1 Sr 0.247 0.281 0.223
2 Sr 0.753 0.719 0.777
3 Ge 0.500 0.500 0.500
4 Pd 0.240 0.746 0.276
5 Pd 0.254 0.894 0.599
6 Pd 0.263 0.254 0.725
7 Pd 0.737 0.746 0.275
8 Pd 0.746 0.106 0.401
9 Pd 0.760 0.254 0.724
10 Pb 0.000 0.000 0.000

- space-group type = P-1
- formation energy from the elements (eV/atom) = -0.517


Density functional theory data (PBE) for a geometry-optimized Ce2SeF3 structure.

Unit cell a=7.883 b=7.883 c=7.929 alpha=114.81 beta=114.81 gamma=29.80
Atoms (fractional coordinates):
1 Ce 0.022 0.022 0.222
2 Ce 0.294 0.294 0.293
3 Ce 0.706 0.706 0.707
4 Ce 0.978 0.978 0.778
5 Se 0.366 0.366 0.950
6 Se 0.634 0.634 0.050
7 F 0.108 0.108 0.683
8 F 0.191 0.191 0.457
9 F 0.441 0.441 0.593
10 F 0.559 0.559 0.407
11 F 0.809 0.809 0.543
12 F 0.892 0.892 0.317

- space-group type = C2/m
- formation energy without anion corrections (eV per atom) = -3.15


Density functional theory data (PBE) for a geometry-optimized CrSe2I structure.

Unit cell a=7.026 b=7.026 c=7.026 alpha=121.18 beta=121.18 gamma=87.97
Atoms (fractional coordinates):
1 Cr 0.000 0.000 0.000
2 Cr 0.750 0.250 0.500
3 Se 0.005 0.625 0.880
4 Se 0.375 0.255 0.380
5 Se 0.745 0.125 0.120
6 Se 0.875 0.995 0.620
7 I 0.250 0.750 0.500
8 I 0.500 0.500 0.000

- space-group type = I-42d
- relative energy among the computed polymorphs (meV per atom) = 204
- formation energy without anion corrections (eV per atom) = 0.02


Density functional theory data (PBE) for a geometry-optimized RbAsO3 structure.

Unit cell a=3.529 b=3.529 c=6.814 alpha=90.00 beta=90.00 gamma=90.00
Atoms (fractional coordinates):
1 Rb 0.000 0.000 0.000
2 As 0.500 0.500 0.443
3 O 0.000 0.000 0.624
4 O 0.000 0.500 0.311
5 O 0.500 0.000 0.311

- space-group type = P4mm
- formation energy without anion corrections (eV per atom) = -0.41


Density functional theory data (PBE) for a geometry-optimized LaSe2F structure.

Unit cell a=4.398 b=6.139 c=7.634 alpha=107.07 beta=90.36 gamma=105.64
Atoms (fractional coordinates):
1 La 0.000 0.000 0.000
2 La 0.317 0.653 0.535
3 Se 0.099 0.446 0.855
4 Se 0.412 0.717 0.136
5 Se 0.676 0.357 0.261
6 Se 0.859 0.138 0.437
7 F 0.459 0.968 0.831
8 F 0.873 0.785 0.654

- space-group type = P1
- relative energy among the computed polymorphs (meV per atom) = 25
- formation energy without anion corrections (eV per atom) = -2.18


Density functional theory data (PBE) for a geometry-optimized Hg2RhI structure.

Unit cell a=8.156 b=8.156 c=8.156 alpha=132.02 beta=132.02 gamma=70.20
Atoms (fractional coordinates):
1 Hg 0.049 0.625 0.924
2 Hg 0.375 0.299 0.424
3 Hg 0.701 0.125 0.076
4 Hg 0.875 0.951 0.576
5 Rh 0.000 0.000 0.000
6 Rh 0.750 0.250 0.500
7 I 0.250 0.750 0.500
8 I 0.500 0.500 0.000

- space-group type = I-42d
- relative energy among the computed polymorphs (meV per atom) = 0
- formation energy without anion corrections (eV per atom) = 0.47


Per-record theoretical density, g/cm³: 5.6; 2.8; 6.4; 12.4; 6.1; 4.2; 7.8; 12.1; 13.6; 10.7; 8.0; 7.4; 3.2; 10.0; 8.0; 6.3; 4.6; 4.1; 5.6; 7.1
Per-record total DFT energy (no corrections), eV/cell: -24.83; -15.03; -71.25; -25.82; -21.07; -15.47; -50.78; -40.73; -43.00; -26.07; -56.54; -19.07; -14.92; -37.16; -48.02; -79.73; -36.09; -22.56; -44.97; -15.23